# MnIn4SnO8

A geometry-optimized MnIn4SnO8 structure (GGA+U, Alexandria).

Calculated values
electronic total energy = -80.75 eV/cell

a = 6.345 Å, b = 6.345 Å, c = 6.345 Å
α = 64.00°, β = 64.00°, γ = 64.00°
Element x y z (fractional)
Mn 0.000 0.000 0.000
In 0.387 0.387 0.387
In 0.499 0.999 0.999
In 0.999 0.499 0.999
In 0.999 0.999 0.499
Sn 0.608 0.608 0.608
O 0.194 0.782 0.782
O 0.223 0.223 0.799
O 0.223 0.799 0.223
O 0.243 0.243 0.243
O 0.752 0.752 0.752
O 0.782 0.194 0.782
O 0.782 0.782 0.194
O 0.799 0.223 0.223